Record 1
Cl | GGA-PBEsol | optimized geometry

a b c (Å): 2.7824 2.7824 2.7824
angles (deg): 90.00 90.00 90.00
With the nearest neighbours (Å) after each atom.
Positions (direct):
Cl (0.5000, 0.5000, 0.5000)  6 Cl 2.78

Values from the calculation:
The value obtained for the uncorrected energy is -1.421 eV/atom. The value obtained for the density of states at the Fermi level is 1.325 states/eV/f.u. The uncorrected formation energy comes out at 0.587 eV/atom. For the total moment, the calculation gives 0.000 μB/cell. The value obtained for the relative energy among the computed polymorphs is 587 meV/atom.

Record 2
IrOsRuN2 | GGA-PBEsol | optimized geometry

a b c (Å): 3.6737 3.6737 5.3364
angles (deg): 90.00 90.00 90.00
With the nearest neighbours (Å) after each atom.
Positions (direct):
Ir (0.0000, 0.0000, 0.5000)  4 Ru 2.60, 2 Os 2.67
N (0.0000, 0.5000, 0.0000)  2 Os 1.84
N (0.5000, 0.0000, 0.0000)  2 Os 1.84
Ru (0.5000, 0.5000, 0.5000)  4 Ir 2.60
Os (0.0000, 0.0000, 0.0000)  4 N 1.84

Values from the calculation:
The value obtained for the uncorrected energy is -8.462 eV/atom. The value obtained for the density of states at the Fermi level is 6.682 states/eV/f.u. The uncorrected formation energy comes out at 1.391 eV/atom. For the total moment, the calculation gives 2.191 μB/cell.

Record 3
BiS2NO | GGA-PBEsol | optimized geometry

a b c (Å): 4.4764 5.2019 5.2019
angles (deg): 90.00 90.00 90.00
With the nearest neighbours (Å) after each atom.
Positions (direct):
S (0.0000, 0.5000, 0.0000)  2 Bi 2.60
S (0.0000, 0.0000, 0.5000)  2 Bi 2.60
N (0.5000, 0.0000, 0.0000)  2 Bi 2.24
Bi (0.0000, 0.0000, 0.0000)  2 N 2.24
O (0.5000, 0.5000, 0.5000)  8 S 3.43, 4 N 3.68

Values from the calculation:
The value obtained for the uncorrected energy is -3.632 eV/atom. The value obtained for the density of states at the Fermi level is 4.420 states/eV/f.u. The uncorrected formation energy comes out at 1.734 eV/atom. For the total moment, the calculation gives 5.049 μB/cell.

Record 4
Ca2SbAs2 | GGA-PBEsol | optimized geometry

a b c (Å): 4.0489 7.7188 7.7188
angles (deg): 90.00 90.00 90.00
With the nearest neighbours (Å) after each atom.
Positions (direct):
As (0.0000, 0.8478, 0.6522)  6 Ca 2.93-3.11, 2 Sb 2.93
As (0.0000, 0.6522, 0.1522)  6 Ca 2.93-3.11, 2 Sb 2.93
As (0.0000, 0.3478, 0.8478)  6 Ca 2.93-3.11, 2 Sb 2.93
As (0.0000, 0.1522, 0.3478)  6 Ca 2.93-3.11, 2 Sb 2.93
Sb (0.0000, 0.0000, 0.0000)  4 As 2.93
Sb (0.0000, 0.5000, 0.5000)  4 As 2.93
Ca (0.5000, 0.3459, 0.1541)  6 As 2.93-3.11
Ca (0.5000, 0.8459, 0.3459)  6 As 2.93-3.11
Ca (0.5000, 0.6541, 0.8459)  6 As 2.93-3.11
Ca (0.5000, 0.1541, 0.6541)  6 As 2.93-3.11

Values from the calculation:
The value obtained for the uncorrected energy is -4.628 eV/atom. The value obtained for the density of states at the Fermi level is 3.034 states/eV/f.u. The uncorrected formation energy comes out at -0.821 eV/atom. For the total moment, the calculation gives 0.001 μB/cell.

Record 5
SrFe2Hg | GGA-PBEsol | optimized geometry

a b c (Å): 3.5589 3.5589 6.5689
angles (deg): 90.00 90.00 90.00
With the nearest neighbours (Å) after each atom.
Positions (direct):
Hg (0.5000, 0.5000, 0.0000)  8 Fe 2.73
Sr (0.5000, 0.5000, 0.5000)  2 Hg 3.28, 8 Fe 3.35, 4 Sr 3.56
Fe (0.0000, 0.0000, 0.8370)  1 Fe 2.14
Fe (0.0000, 0.0000, 0.1630)  1 Fe 2.14

Values from the calculation:
The value obtained for the uncorrected energy is -4.528 eV/atom. The value obtained for the density of states at the Fermi level is 4.476 states/eV/f.u. For the total moment, the calculation gives 5.236 μB/cell.

Record 6
LaY2Mg | GGA-PBEsol | optimized geometry

a b c (Å): 3.6544 3.6544 8.8835
angles (deg): 90.00 90.00 90.00
With the nearest neighbours (Å) after each atom.
Positions (direct):
Y (0.0000, 0.0000, 0.2773)  4 Mg 3.25, 4 La 3.57
Y (0.0000, 0.0000, 0.7227)  4 Mg 3.25, 4 La 3.57
Mg (0.5000, 0.5000, 0.5000)  8 Y 3.25
La (0.5000, 0.5000, 0.0000)  8 Y 3.57, 4 La 3.65

Values from the calculation:
The value obtained for the uncorrected energy is -5.206 eV/atom. The value obtained for the density of states at the Fermi level is 6.110 states/eV/f.u. For the total moment, the calculation gives 0.001 μB/cell.

Record 7
Hf3ScI | GGA-PBEsol | optimized geometry

a b c (Å): 5.1291 5.1291 5.1291
angles (deg): 90.00 90.00 90.00
With the nearest neighbours (Å) after each atom.
Positions (direct):
Hf (0.0000, 0.5000, 0.0000)  2 I 2.56
Hf (0.5000, 0.0000, 0.0000)  2 I 2.56
Hf (0.0000, 0.0000, 0.5000)  2 I 2.56
I (0.0000, 0.0000, 0.0000)  6 Hf 2.56
Sc (0.5000, 0.5000, 0.5000)  12 Hf 3.63

Values from the calculation:
The value obtained for the uncorrected energy is -7.024 eV/atom. The value obtained for the density of states at the Fermi level is 5.386 states/eV/f.u. The uncorrected formation energy comes out at 0.952 eV/atom. For the total moment, the calculation gives 0.000 μB/cell.

Record 8
Eu2SnS4 | GGA-PBEsol | optimized geometry

a b c (Å): 7.1274 8.0586 11.2868
angles (deg): 90.00 90.00 90.00
With the nearest neighbours (Å) after each atom.
Positions (direct):
Eu (0.4085, 0.5000, 0.8184)  7 S 2.84-3.15
Eu (0.5915, 0.0000, 0.1816)  7 S 2.84-3.15
Eu (0.4085, 0.0000, 0.8184)  7 S 2.84-3.15
Eu (0.0915, 0.0000, 0.3183)  7 S 2.84-3.15
Eu (0.0915, 0.5000, 0.3184)  7 S 2.84-3.15
Eu (0.5915, 0.5000, 0.1816)  7 S 2.84-3.15
Eu (0.9085, 0.0000, 0.6817)  7 S 2.84-3.15
Eu (0.9085, 0.5000, 0.6816)  7 S 2.84-3.15
S (0.1300, 0.2500, 0.7904)  1 Sn 2.54, 3 Eu 2.84-2.85
S (0.7648, 0.5000, 0.9454)  2 Sn 2.69, 2 Eu 2.92-2.94
S (0.6300, 0.2500, 0.7096)  1 Sn 2.54, 2 Eu 2.84
S (0.8700, 0.2500, 0.2096)  1 Sn 2.54, 2 Eu 2.84
S (0.6300, 0.7500, 0.7096)  1 Sn 2.54, 2 Eu 2.84
S (0.1300, 0.7500, 0.7904)  1 Sn 2.54, 2 Eu 2.84
S (0.7351, 0.5000, 0.4454)  2 Sn 2.69, 2 Eu 2.92-2.94
S (0.3700, 0.7500, 0.2904)  1 Sn 2.54, 2 Eu 2.84
S (0.2649, 0.0000, 0.5546)  2 Sn 2.69, 2 Eu 2.92-2.94
S (0.8700, 0.7500, 0.2096)  1 Sn 2.54, 3 Eu 2.84-2.85
S (0.7649, 0.0000, 0.9454)  2 Sn 2.69, 2 Eu 2.92-2.94
S (0.2649, 0.5000, 0.5546)  2 Sn 2.69, 2 Eu 2.92-2.94
S (0.2352, 0.5000, 0.0546)  2 Sn 2.69, 2 Eu 2.92-2.94
S (0.7351, 0.0000, 0.4454)  2 Sn 2.69, 2 Eu 2.92-2.94
S (0.3700, 0.2500, 0.2904)  1 Sn 2.54, 2 Eu 2.84
S (0.2351, 0.0000, 0.0546)  2 Sn 2.69, 2 Eu 2.92-2.94
Sn (0.9999, 0.2500, 0.0000)  6 S 2.54-2.69
Sn (0.5001, 0.2500, 0.5000)  6 S 2.54-2.69
Sn (0.4999, 0.7500, 0.5000)  6 S 2.54-2.69
Sn (0.0001, 0.7500, 0.0000)  6 S 2.54-2.69

Values from the calculation:
The value obtained for the uncorrected energy is -7.618 eV/atom. The value obtained for the density of states at the Fermi level is 22.944 states/eV/f.u. The uncorrected formation energy comes out at -1.486 eV/atom. For the total moment, the calculation gives 54.498 μB/cell.

Record 9
Sc2SeCl2 | GGA-PBEsol | optimized geometry

a b c (Å): 4.6342 4.6342 5.7077
angles (deg): 113.95 113.95 90.00
With the nearest neighbours (Å) after each atom.
Positions (direct):
Sc (0.2500, 0.7500, 0.5000)  4 Cl 2.49
Sc (0.7500, 0.2500, 0.5000)  4 Cl 2.49
Se (0.0000, 0.0000, 0.0000)  10 Cl 3.25-3.57, 8 Sc 3.29
Cl (0.3479, 0.3479, 0.6959)  4 Sc 2.49
Cl (0.6521, 0.6521, 0.3041)  4 Sc 2.49

Values from the calculation:
The value obtained for the uncorrected energy is -5.593 eV/atom. The value obtained for the density of states at the Fermi level is 1.853 states/eV/f.u. The uncorrected formation energy comes out at -1.378 eV/atom. For the total moment, the calculation gives 0.000 μB/cell.

Record 10
TaIr4Pt | GGA-PBEsol | optimized geometry

a b c (Å): 5.0841 5.0841 5.0841
angles (deg): 60.00 60.00 60.00
With the nearest neighbours (Å) after each atom.
Positions (direct):
Ta (0.0000, 0.0000, 0.0000)  12 Ir 2.98, 4 Pt 3.11
Ir (0.6247, 0.6247, 0.1259)  6 Ir 2.54-2.55
Ir (0.1259, 0.6247, 0.6247)  6 Ir 2.54-2.55
Ir (0.6247, 0.6247, 0.6247)  6 Ir 2.54-2.55
Ir (0.6247, 0.1259, 0.6247)  6 Ir 2.54-2.55
Pt (0.2500, 0.2500, 0.2500)  12 Ir 2.98, 4 Ta 3.11

Values from the calculation:
The value obtained for the uncorrected energy is -9.749 eV/atom. The value obtained for the density of states at the Fermi level is 7.224 states/eV/f.u. For the total moment, the calculation gives 0.001 μB/cell.

Record 11
NaPH6O6 | GGA-PBEsol | optimized geometry

a b c (Å): 6.6079 7.2091 10.9969
angles (deg): 90.00 90.00 90.00
With the nearest neighbours (Å) after each atom.
Positions (direct):
O (0.3119, 0.2217, 0.1164)  1 H 1.07
O (0.9333, 0.5144, 0.6067)  1 H 1.10
O (0.5160, 0.8794, 0.9512)  2 H 0.99-1.00
O (0.9840, 0.1206, 0.4512)  2 H 0.99-1.00
O (0.5528, 0.2632, 0.2885)  1 H 1.34
O (0.0528, 0.2368, 0.7115)  1 H 1.34
O (0.3112, 0.6612, 0.4177)  1 H 1.41, 1 P 1.54
O (0.8112, 0.8388, 0.5823)  1 H 1.41, 1 P 1.54
O (0.9472, 0.7368, 0.7885)  1 H 1.34
O (0.4333, 0.9856, 0.3933)  1 H 1.10
O (0.6888, 0.1612, 0.0823)  1 H 1.41, 1 P 1.54
O (0.6881, 0.7217, 0.3836)  1 H 1.07
O (0.1881, 0.7783, 0.6163)  1 H 1.07
O (0.5667, 0.4856, 0.1067)  1 H 1.10
O (0.1888, 0.3388, 0.9177)  1 H 1.41, 1 P 1.54
O (0.0160, 0.6206, 0.0488)  2 H 0.99-1.00
O (0.4445, 0.5400, 0.7738)  2 H 0.99-1.00
O (0.0667, 0.0144, 0.8933)  1 H 1.10
O (0.0555, 0.4600, 0.2738)  2 H 0.99-1.00
O (0.4472, 0.7632, 0.2115)  1 H 1.34
O (0.4840, 0.3794, 0.5488)  2 H 0.99-1.00
O (0.5555, 0.0400, 0.7262)  2 H 0.99-1.00
O (0.9445, 0.9600, 0.2262)  2 H 0.99-1.00
O (0.8119, 0.2783, 0.8836)  1 H 1.07
H (0.7632, 0.2292, 0.9709)  1 O 1.07
H (0.4902, 0.1060, 0.3417)  1 O 1.10
H (0.0149, 0.5659, 0.1324)  1 O 1.00
H (0.5149, 0.9341, 0.8676)  1 O 1.00
H (0.1532, 0.5342, 0.3236)  1 O 1.00
H (0.6532, 0.9658, 0.6764)  1 O 1.00
H (0.3646, 0.6443, 0.7414)  1 O 0.99
H (0.9158, 0.0259, 0.5025)  1 O 0.99
H (0.2632, 0.2708, 0.0291)  1 O 1.07
H (0.8468, 0.0342, 0.1764)  1 O 1.00
H (0.9851, 0.0659, 0.3676)  1 O 1.00
H (0.4158, 0.4741, 0.4975)  1 O 0.99
H (0.0842, 0.5259, 0.9975)  1 O 0.99
H (0.7368, 0.7708, 0.4709)  1 O 1.07
H (0.8646, 0.8557, 0.2586)  1 O 0.99
H (0.4851, 0.4341, 0.6324)  1 O 1.00
H (0.0098, 0.8940, 0.8417)  1 O 1.10
H (0.6354, 0.1443, 0.7586)  1 O 0.99
H (0.5098, 0.6060, 0.1583)  1 O 1.10
H (0.2368, 0.7292, 0.5291)  1 O 1.07
H (0.9902, 0.3940, 0.6583)  1 O 1.10
H (0.1354, 0.3557, 0.2414)  1 O 0.99
H (0.3468, 0.4658, 0.8236)  1 O 1.00
H (0.5842, 0.9741, 0.0025)  1 O 0.99
P (0.9650, 0.7170, 0.6513)  4 O 1.52-1.59
P (0.5350, 0.2830, 0.1513)  4 O 1.52-1.59
P (0.0350, 0.2170, 0.8487)  4 O 1.52-1.59
P (0.4650, 0.7830, 0.3487)  4 O 1.52-1.59
Na (0.2105, 0.8881, 0.0754)  6 O 2.34-2.54
Na (0.7105, 0.6119, 0.9246)  6 O 2.34-2.54
Na (0.2895, 0.1119, 0.5754)  6 O 2.34-2.54
Na (0.7895, 0.3881, 0.4246)  6 O 2.34-2.54

Values from the calculation:
The value obtained for the uncorrected energy is -5.676 eV/atom. The value obtained for the density of states at the Fermi level is 0.000 states/eV/f.u. For the total moment, the calculation gives 0.001 μB/cell.

Record 12
AsPdWBr2 | GGA-PBEsol | optimized geometry

a b c (Å): 4.8573 4.9538 4.9538
angles (deg): 90.00 90.00 90.00
With the nearest neighbours (Å) after each atom.
Positions (direct):
Br (0.0000, 0.5000, 0.0000)  2 W 2.48
Br (0.0000, 0.0000, 0.5000)  2 W 2.48
W (0.0000, 0.0000, 0.0000)  2 As 2.43, 4 Br 2.48
As (0.5000, 0.0000, 0.0000)  2 W 2.43
Pd (0.5000, 0.5000, 0.5000)  8 Br 3.47, 4 As 3.50

Values from the calculation:
The value obtained for the uncorrected energy is -4.894 eV/atom. The value obtained for the density of states at the Fermi level is 3.651 states/eV/f.u. The uncorrected formation energy comes out at 0.828 eV/atom. For the total moment, the calculation gives 0.000 μB/cell.